Entry from the Alexandria database: SmGdHoIn after structural relaxation (PBE).

```
SmGdHoIn
1.0
0.000 3.882 3.882
3.882 0.000 3.882
3.882 3.882 0.000
Sm Gd Ho In
1 1 1 1
Cartesian
0.000 0.000 0.000
3.882 3.882 3.882
1.941 1.941 1.941
5.824 5.824 5.824
```

Computed properties:
Calculated formation energy (eV per atom): -0.16
V (Å³ per cell): 117.0
Crystal system: cubic
Space-group type: F-43m, No. 216
E_tot (eV/cell): -26.751
Total magnetization (μB per atom): 2.098

Entry from the Alexandria database: GdHoTlIn after structural relaxation (PBE).

```
GdHoTlIn
1.0
0.000 3.789 3.789
3.789 0.000 3.789
3.789 3.789 0.000
Gd Ho Tl In
1 1 1 1
Cartesian
0.000 0.000 0.000
3.789 3.789 3.789
5.684 5.684 5.684
1.895 1.895 1.895
```

Computed properties:
Calculated formation energy (eV per atom): -0.41
V (Å³ per cell): 108.8
Crystal system: cubic
Space-group type: F-43m, No. 216
E_tot (eV/cell): -25.396
Total magnetization (μB per atom): 1.825

Entry from the Alexandria database: GdHoTmIn after structural relaxation (PBE).

```
GdHoTmIn
1.0
0.000 3.838 3.838
3.838 0.000 3.838
3.838 3.838 0.000
Gd Ho Tm In
1 1 1 1
Cartesian
0.000 0.000 0.000
3.838 3.838 3.838
5.756 5.756 5.756
1.919 1.919 1.919
```

Computed properties:
Calculated formation energy (eV per atom): -0.15
V (Å³ per cell): 113.0
Crystal system: cubic
Space-group type: F-43m, No. 216
E_tot (eV/cell): -26.483
Total magnetization (μB per atom): 2.076

Entry from the Alexandria database: GdYHoIn after structural relaxation (PBE).

```
GdYHoIn
1.0
0.000 3.861 3.861
3.861 0.000 3.861
3.861 3.861 0.000
Gd Y Ho In
1 1 1 1
Cartesian
0.000 0.000 0.000
3.861 3.861 3.861
1.930 1.930 1.930
5.791 5.791 5.791
```

Computed properties:
Calculated formation energy (eV per atom): -0.16
V (Å³ per cell): 115.1
Crystal system: cubic
Space-group type: F-43m, No. 216
E_tot (eV/cell): -28.492
Total magnetization (μB per atom): 2.120

Entry from the Alexandria database: GdHo3Ir after structural relaxation (PBE).

```
GdHo3Ir
1.0
5.411 0.000 0.000
0.000 5.411 0.000
0.000 0.000 5.411
Gd Ho Ir
1 3 1
Cartesian
0.000 0.000 0.000
0.000 2.706 2.706
2.706 0.000 2.706
2.706 2.706 0.000
2.706 2.706 2.706
```

Computed properties:
Calculated formation energy (eV per atom): -0.29
V (Å³ per cell): 158.4
Crystal system: cubic
Space-group type: Pm-3m, No. 221
E_tot (eV/cell): -38.134
Total magnetization (μB per atom): 1.573

Entry from the Alexandria database: GdHoIr4 after structural relaxation (PBE).

```
GdHoIr4
1.0
0.000 3.794 3.794
3.794 0.000 3.794
3.794 3.794 0.000
Gd Ho Ir
1 1 4
Cartesian
0.000 0.000 0.000
1.897 1.897 1.897
4.742 2.846 2.846
2.846 4.742 2.846
2.846 2.846 4.742
4.742 4.742 4.742
```

Computed properties:
Calculated formation energy (eV per atom): -0.80
V (Å³ per cell): 109.2
Crystal system: cubic
Space-group type: F-43m, No. 216
E_tot (eV/cell): -58.900
Total magnetization (μB per atom): 1.172

Entry from the Alexandria database: GdHo2Ir after structural relaxation (PBE).

```
GdHo2Ir
1.0
1.948 1.124 9.188
-1.948 1.124 9.188
0.000 -2.249 9.188
Gd Ho Ir
1 2 1
Cartesian
0.000 0.000 0.000
0.000 0.000 6.161
0.000 0.000 21.404
0.000 0.000 13.782
```

Computed properties:
Calculated formation energy (eV per atom): -0.34
V (Å³ per cell): 120.7
Energy relative to the lowest polymorph listed for this composition (meV/atom): 88.9
Crystal system: trigonal
Space-group type: R-3m, No. 166
E_tot (eV/cell): -33.444
Total magnetization (μB per atom): 2.107

Entry from the Alexandria database: Gd2HoIr after structural relaxation (PBE).

```
Gd2HoIr
1.0
3.545 0.000 0.000
0.000 3.545 0.000
0.000 0.000 8.616
Gd Ho Ir
2 1 1
Cartesian
0.000 0.000 1.617
0.000 0.000 7.000
1.773 1.773 4.308
1.773 1.773 0.000
```

Computed properties:
Calculated formation energy (eV per atom): -0.35
V (Å³ per cell): 108.3
Energy relative to the lowest polymorph listed for this composition (meV/atom): 0.0
Crystal system: tetragonal
Space-group type: P4/mmm, No. 123
E_tot (eV/cell): -42.999
Total magnetization (μB per atom): 3.803

Entry from the Alexandria database: Gd3HoIr after structural relaxation (PBE).

```
Gd3HoIr
1.0
5.470 0.000 0.000
0.000 5.470 0.000
0.000 0.000 5.470
Gd Ho Ir
3 1 1
Cartesian
0.000 0.000 2.735
0.000 2.735 0.000
2.735 0.000 0.000
2.735 2.735 2.735
0.000 0.000 0.000
```

Computed properties:
Calculated formation energy (eV per atom): -0.22
V (Å³ per cell): 163.7
Crystal system: cubic
Space-group type: Pm-3m, No. 221
E_tot (eV/cell): -56.796
Total magnetization (μB per atom): 4.458

Entry from the Alexandria database: GdHo2Ir after structural relaxation (PBE).

```
GdHo2Ir
1.0
3.479 0.000 0.000
0.000 3.479 0.000
0.000 0.000 8.770
Gd Ho Ir
1 2 1
Cartesian
0.000 0.000 0.000
1.739 1.739 2.768
1.739 1.739 6.002
0.000 0.000 4.385
```

Computed properties:
Calculated formation energy (eV per atom): -0.43
V (Å³ per cell): 106.1
Energy relative to the lowest polymorph listed for this composition (meV/atom): 0.0
Crystal system: tetragonal
Space-group type: P4/mmm, No. 123
E_tot (eV/cell): -33.799
Total magnetization (μB per atom): 2.002

Entry from the Alexandria database: Gd2HoIr after structural relaxation (PBE).

```
Gd2HoIr
1.0
1.932 1.115 9.356
-1.932 1.115 9.356
0.000 -2.231 9.356
Gd Ho Ir
2 1 1
Cartesian
0.000 0.000 6.333
0.000 0.000 21.735
0.000 0.000 0.000
0.000 0.000 14.034
```

Computed properties:
Calculated formation energy (eV per atom): -0.28
V (Å³ per cell): 120.9
Energy relative to the lowest polymorph listed for this composition (meV/atom): 67.5
Crystal system: trigonal
Space-group type: R-3m, No. 166
E_tot (eV/cell): -42.729
Total magnetization (μB per atom): 3.786

Entry from the Alexandria database: LiGdHoIr after structural relaxation (PBE).

```
LiGdHoIr
1.0
0.000 3.485 3.485
3.485 0.000 3.485
3.485 3.485 0.000
Li Gd Ho Ir
1 1 1 1
Cartesian
0.000 0.000 0.000
1.742 1.742 1.742
5.227 5.227 5.227
3.485 3.485 3.485
```

Computed properties:
Calculated formation energy (eV per atom): -0.55
V (Å³ per cell): 84.6
Crystal system: cubic
Space-group type: F-43m, No. 216
E_tot (eV/cell): -31.640
Total magnetization (μB per atom): 1.786

Entry from the Alexandria database: GdHoMgIr after structural relaxation (PBE).

```
GdHoMgIr
1.0
0.000 3.562 3.562
3.562 0.000 3.562
3.562 3.562 0.000
Gd Ho Mg Ir
1 1 1 1
Cartesian
0.000 0.000 0.000
3.562 3.562 3.562
1.781 1.781 1.781
5.342 5.342 5.342
```

Computed properties:
Calculated formation energy (eV per atom): -0.44
V (Å³ per cell): 90.4
Crystal system: cubic
Space-group type: F-43m, No. 216
E_tot (eV/cell): -30.874
Total magnetization (μB per atom): 1.762

Entry from the Alexandria database: GdHoIrOs after structural relaxation (PBE).

```
GdHoIrOs
1.0
0.000 3.423 3.423
3.423 0.000 3.423
3.423 3.423 0.000
Gd Ho Ir Os
1 1 1 1
Cartesian
0.000 0.000 0.000
3.423 3.423 3.423
1.712 1.712 1.712
5.135 5.135 5.135
```

Computed properties:
Calculated formation energy (eV per atom): -0.41
V (Å³ per cell): 80.2
Crystal system: cubic
Space-group type: F-43m, No. 216
E_tot (eV/cell): -40.397
Total magnetization (μB per atom): 1.758

Entry from the Alexandria database: GdHoIrPd after structural relaxation (PBE).

```
GdHoIrPd
1.0
0.000 3.472 3.472
3.472 0.000 3.472
3.472 3.472 0.000
Gd Ho Ir Pd
1 1 1 1
Cartesian
0.000 0.000 0.000
3.472 3.472 3.472
5.208 5.208 5.208
1.736 1.736 1.736
```

Computed properties:
Calculated formation energy (eV per atom): -0.87
V (Å³ per cell): 83.7
Crystal system: cubic
Space-group type: F-43m, No. 216
E_tot (eV/cell): -36.211
Total magnetization (μB per atom): 1.753

Entry from the Alexandria database: GdHoIrPt after structural relaxation (PBE).

```
GdHoIrPt
1.0
0.000 3.468 3.468
3.468 0.000 3.468
3.468 3.468 0.000
Gd Ho Ir Pt
1 1 1 1
Cartesian
0.000 0.000 0.000
3.468 3.468 3.468
5.202 5.202 5.202
1.734 1.734 1.734
```

Computed properties:
Calculated formation energy (eV per atom): -1.00
V (Å³ per cell): 83.4
Crystal system: cubic
Space-group type: F-43m, No. 216
E_tot (eV/cell): -37.548
Total magnetization (μB per atom): 1.751

Entry from the Alexandria database: GdHoIrRu after structural relaxation (PBE).

```
GdHoIrRu
1.0
0.000 3.421 3.421
3.421 0.000 3.421
3.421 3.421 0.000
Gd Ho Ir Ru
1 1 1 1
Cartesian
0.000 0.000 0.000
3.421 3.421 3.421
1.710 1.710 1.710
5.131 5.131 5.131
```

Computed properties:
Calculated formation energy (eV per atom): -0.58
V (Å³ per cell): 80.0
Crystal system: cubic
Space-group type: F-43m, No. 216
E_tot (eV/cell): -39.097
Total magnetization (μB per atom): 1.764

Entry from the Alexandria database: GdHoScIr after structural relaxation (PBE).

```
GdHoScIr
1.0
0.000 3.561 3.561
3.561 0.000 3.561
3.561 3.561 0.000
Gd Ho Sc Ir
1 1 1 1
Cartesian
0.000 0.000 0.000
3.561 3.561 3.561
1.780 1.780 1.780
5.341 5.341 5.341
```

Computed properties:
Calculated formation energy (eV per atom): -0.25
V (Å³ per cell): 90.3
Crystal system: cubic
Space-group type: F-43m, No. 216
E_tot (eV/cell): -34.871
Total magnetization (μB per atom): 1.848

Entry from the Alexandria database: GdHoSnIr after structural relaxation (PBE).

```
GdHoSnIr
1.0
0.000 3.606 3.606
3.606 0.000 3.606
3.606 3.606 0.000
Gd Ho Sn Ir
1 1 1 1
Cartesian
0.000 0.000 0.000
3.606 3.606 3.606
1.803 1.803 1.803
5.410 5.410 5.410
```

Computed properties:
Calculated formation energy (eV per atom): -0.60
V (Å³ per cell): 93.8
Crystal system: cubic
Space-group type: F-43m, No. 216
E_tot (eV/cell): -33.910
Total magnetization (μB per atom): 1.747

Entry from the Alexandria database: GdHoZnIr after structural relaxation (PBE).

```
GdHoZnIr
1.0
0.000 3.494 3.494
3.494 0.000 3.494
3.494 3.494 0.000
Gd Ho Zn Ir
1 1 1 1
Cartesian
0.000 0.000 0.000
3.494 3.494 3.494
5.240 5.240 5.240
1.747 1.747 1.747
```

Computed properties:
Calculated formation energy (eV per atom): -0.62
V (Å³ per cell): 85.3
Crystal system: cubic
Space-group type: F-43m, No. 216
E_tot (eV/cell): -31.254
Total magnetization (μB per atom): 1.769